(A)
YGaI | PBE | relaxed

POSCAR file:
```
YGaI
1.0
4.208 -0.018 -0.026
-2.088 3.653 0.026
-1.999 -1.270 12.161
I Ga Y
2 2 2
Direct
0.448 0.721 0.169
0.552 0.279 0.831
0.684 0.842 0.527
0.316 0.158 0.473
0.110 0.556 0.666
0.890 0.444 0.334
```

Values from the calculation:
- volume (Å³ per cell) = 186.4
- ρ (Mg/m³) = 5.09
- DOS(E_F) (states/eV per cell) = 1.97

---

(B)
YGaI | PBE | relaxed

POSCAR file:
```
YGaI
1.0
-1.716 3.255 1.899
-0.387 0.026 4.121
10.765 7.840 0.800
Ga I Y
2 2 2
Direct
0.637 0.183 0.543
0.363 0.817 0.457
0.764 0.632 0.841
0.236 0.368 0.159
0.204 0.906 0.686
0.796 0.094 0.314
```

Values from the calculation:
- volume (Å³ per cell) = 194.5
- ρ (Mg/m³) = 4.88
- DOS(E_F) (states/eV per cell) = 2.05

---

Stability order, top to bottom: (A), (B)

---

(A)
Y2GaI | PBE | relaxed

POSCAR file:
```
Y2GaI
1.0
4.276 0.000 0.000
2.138 3.703 0.000
2.138 1.234 7.417
I Ga Y
1 1 2
Direct
0.500 0.500 0.500
0.000 0.000 0.000
0.733 0.733 0.800
0.267 0.267 0.200
```

Values from the calculation:
- volume (Å³ per cell) = 117.5
- ρ (Mg/m³) = 5.29
- DOS(E_F) (states/eV per cell) = 2.55

---

(B)
Y2GaI | PBE | relaxed

POSCAR file:
```
Y2GaI
1.0
-1.433 6.337 -0.613
-2.148 0.110 6.161
4.840 4.943 5.055
Ga Y I
2 4 2
Direct
0.250 0.750 0.500
0.500 0.500 0.000
0.179 0.625 0.250
0.375 0.429 0.750
0.571 0.125 0.250
0.875 0.821 0.750
0.000 0.000 0.000
0.750 0.250 0.500
```

Values from the calculation:
- volume (Å³ per cell) = 307.4
- ρ (Mg/m³) = 4.05
- DOS(E_F) (states/eV per cell) = 1.72

---

Stability order, top to bottom: (A), (B)

---

(A)
ZnGa3I | PBE | relaxed

POSCAR file:
```
ZnGa3I
1.0
-2.714 -3.758 -2.040
2.105 0.930 -4.512
3.722 -3.266 1.063
Zn I Ga
1 1 3
Direct
0.000 0.000 0.000
0.500 0.500 0.500
0.000 0.000 0.500
0.000 0.500 0.000
0.500 0.000 0.000
```

Values from the calculation:
- volume (Å³ per cell) = 129.9
- ρ (Mg/m³) = 5.13
- DOS(E_F) (states/eV per cell) = 2.24

---

(B)
ZnGa3I | PBE | relaxed

POSCAR file:
```
ZnGa3I
1.0
6.001 0.000 0.000
0.000 6.001 0.000
0.000 0.000 6.001
Ga Zn I
3 1 1
Direct
0.500 0.000 0.000
0.000 0.000 0.500
0.000 0.500 0.000
0.500 0.500 0.500
0.000 0.000 0.000
```

Values from the calculation:
- volume (Å³ per cell) = 216.1
- ρ (Mg/m³) = 3.09
- DOS(E_F) (states/eV per cell) = 3.71

---

Stability order, top to bottom: (A), (B)

---

(A)
ZnGaI2 | PBE | relaxed

POSCAR file:
```
ZnGaI2
1.0
3.657 -3.583 -2.106
-0.090 -5.302 1.589
-1.683 -3.920 -3.529
Zn Ga I
1 1 2
Direct
0.000 0.000 0.000
0.500 0.500 0.500
0.250 0.250 0.250
0.750 0.750 0.750
```

Values from the calculation:
- volume (Å³ per cell) = 120.0
- ρ (Mg/m³) = 5.38
- DOS(E_F) (states/eV per cell) = 3.66

---

(B)
ZnGaI2 | PBE | relaxed

POSCAR file:
```
ZnGaI2
1.0
6.573 0.000 0.000
0.000 6.573 0.000
3.287 3.287 8.147
Ga Zn I
2 2 4
Direct
0.750 0.250 0.500
0.000 0.000 0.000
0.500 0.500 0.000
0.250 0.750 0.500
0.375 0.425 0.750
0.875 0.825 0.750
0.575 0.125 0.250
0.175 0.625 0.250
```

Values from the calculation:
- volume (Å³ per cell) = 352.0
- ρ (Mg/m³) = 3.67
- DOS(E_F) (states/eV per cell) = 0.79

---

Stability order, top to bottom: (B), (A)